A geometry-optimized Sc2FeO structure. Source: Alexandria via LeMat-Bulk, functional PBE+U.

Cell lengths 3.077, 3.077, 24.270 Å; angles 90.00, 90.00, 120.00 degrees
Fractional coordinates of all 12 atoms:
Sc (0.000, 0.000, 0.113)
Sc (0.000, 0.000, 0.887)
Sc (0.333, 0.667, 0.553)
Sc (0.333, 0.667, 0.780)
Sc (0.667, 0.333, 0.220)
Sc (0.667, 0.333, 0.447)
Fe (0.000, 0.000, 0.000)
Fe (0.333, 0.667, 0.667)
Fe (0.667, 0.333, 0.333)
O (0.000, 0.000, 0.500)
O (0.333, 0.667, 0.167)
O (0.667, 0.333, 0.833)

Output
DOS at the Fermi energy ... 1.6 states/eV/f.u.
Space-group type ... R-3m, No. 166
Calculated total energy ... -81.85 eV per cell
Size of the total moment ... 8.684 Bohr magnetons per cell